Entry 1:
TmH8Ir2Pt: relaxed, PBE-GGA.

Properties
Electronic total energy = -4.72 eV/atom
Symmetry = C2/m, No. 12
Fermi-level density of states = 1.93 states/eV per cell

Cell lengths 5.0135, 5.0135, 6.0989 Å; angles 109.95, 109.95, 46.92 degrees
Atoms (fractional coordinates):
1 Tm 0.0000 0.0000 0.0000
2 H 0.1198 0.6212 0.2550
3 H 0.1983 0.1983 0.3567
4 H 0.3627 0.3627 0.9598
5 H 0.3788 0.8802 0.7450
6 H 0.6212 0.1198 0.2550
7 H 0.6373 0.6373 0.0402
8 H 0.8017 0.8017 0.6433
9 H 0.8802 0.3788 0.7450
10 Ir 0.2549 0.2549 0.6770
11 Ir 0.7451 0.7451 0.3230
12 Pt 0.5000 0.5000 0.5000



Entry 2:
SrSc2Hg2: relaxed, PBE-GGA.

Properties
Electronic total energy = -3.26 eV/atom
Formation energy from the elements = -1.34 eV/f.u.
Symmetry = P4/mbm, No. 127
Fermi-level density of states = 18.93 states/eV per cell

Cell lengths 8.6895, 8.6895, 3.3466 Å; angles 90.00, 90.00, 90.00 degrees
Atoms (fractional coordinates):
1 Sr 0.0000 0.0000 0.0000
2 Sr 0.5000 0.5000 0.0000
3 Sc 0.1244 0.3756 0.0000
4 Sc 0.3756 0.8756 0.0000
5 Sc 0.6244 0.1244 0.0000
6 Sc 0.8756 0.6244 0.0000
7 Hg 0.1736 0.6736 0.5000
8 Hg 0.3264 0.1736 0.5000
9 Hg 0.6736 0.8264 0.5000
10 Hg 0.8264 0.3264 0.5000



Entry 3:
SrLa2Cl: relaxed, PBE-GGA.

Properties
Electronic total energy = -3.74 eV/atom
Symmetry = Pmmm, No. 47
Fermi-level density of states = 5.89 states/eV per cell
Raw formation energy = -0.395 eV/atom

Cell lengths 3.7201, 5.6420, 6.8088 Å; angles 90.00, 90.00, 90.00 degrees
Atoms (fractional coordinates):
1 Sr 0.0000 0.0000 0.0000
2 La 0.0000 0.5000 0.5000
3 La 0.5000 0.0000 0.5000
4 Cl 0.5000 0.5000 0.0000



Among the records above, which one has the lowest Fermi-level density of states? TmH8Ir2Pt



Among the records above, which one has the highest electronic total energy? SrSc2Hg2



Look up the electronic total energy of the first one. -4.72 eV/atom